Record 1
Below is a geometry-optimized Ta2Se3 structure, with properties calculated at the GGA-PBEsol level.

Properties
Crystal system = monoclinic

Cell lengths 6.506, 3.355, 9.124 Å; angles 90.00, 103.81, 90.00 degrees
Fractional positions:
Ta: 0.112 0.250 0.135
Ta: 0.316 0.250 0.502
Ta: 0.684 0.750 0.498
Ta: 0.888 0.750 0.865
Se: 0.021 0.750 0.343
Se: 0.277 0.750 0.985
Se: 0.479 0.750 0.708
Se: 0.521 0.250 0.292
Se: 0.723 0.250 0.015
Se: 0.979 0.250 0.657

***

Record 2
Below is a geometry-optimized TaSe2 structure, with properties calculated at the GGA-PBEsol level.

Properties
Crystal system = trigonal

Cell lengths 6.684, 6.684, 6.684 Å; angles 29.62, 29.62, 29.62 degrees
Fractional positions:
Ta: 0.000 0.000 0.000
Se: 0.246 0.246 0.246
Se: 0.421 0.421 0.421

***

Record 3
Below is a geometry-optimized Ta4Se structure, with properties calculated at the GGA-PBEsol level.

Properties
Crystal system = tetragonal

Cell lengths 7.911, 7.911, 7.911 Å; angles 153.88, 153.88, 37.28 degrees
Fractional positions:
Ta: 0.095 0.095 0.000
Ta: 0.250 0.750 0.500
Ta: 0.750 0.250 0.500
Ta: 0.905 0.905 0.000
Se: 0.500 0.500 0.000

***

Record 4
Below is a geometry-optimized TaSe3 structure, with properties calculated at the GGA-PBEsol level.

Properties
Crystal system = orthorhombic

Cell lengths 3.385, 7.960, 6.625 Å; angles 90.00, 90.00, 90.00 degrees
Fractional positions:
Ta: 0.250 0.250 0.014
Ta: 0.750 0.750 0.986
Se: 0.250 0.565 0.195
Se: 0.250 0.750 0.694
Se: 0.250 0.935 0.195
Se: 0.750 0.065 0.805
Se: 0.750 0.250 0.306
Se: 0.750 0.435 0.805

***

Record 5
Below is a geometry-optimized TaSe3 structure, with properties calculated at the GGA-PBEsol level.

Properties
Crystal system = trigonal

Cell lengths 5.073, 5.073, 5.073 Å; angles 114.88, 114.88, 114.88 degrees
Fractional positions:
Ta: 0.000 0.000 0.000
Se: 0.000 0.500 0.500
Se: 0.500 0.000 0.500
Se: 0.500 0.500 0.000

***

Record 6
Below is a geometry-optimized TaTcSe2 structure, with properties calculated at the GGA-PBEsol level.

Properties
Offset from the most stable computed form = 1.55 eV per formula unit
Crystal system = trigonal

Cell lengths 8.073, 8.073, 8.073 Å; angles 21.89, 21.89, 21.89 degrees
Fractional positions:
Ta: 0.000 0.000 0.000
Tc: 0.500 0.500 0.500
Se: 0.247 0.247 0.247
Se: 0.753 0.753 0.753

***

Record 7
Below is a geometry-optimized TaTcSe2 structure, with properties calculated at the GGA-PBEsol level.

Properties
Offset from the most stable computed form = 0.00 eV per formula unit
Crystal system = orthorhombic

Cell lengths 3.332, 4.238, 5.866 Å; angles 90.00, 90.00, 90.00 degrees
Fractional positions:
Ta: 0.000 0.000 0.000
Tc: 0.500 0.500 0.948
Se: 0.000 0.500 0.262
Se: 0.500 0.000 0.675

***

Record 8
Below is a geometry-optimized TaTcSe2 structure, with properties calculated at the GGA-PBEsol level.

Properties
Offset from the most stable computed form = 1.55 eV per formula unit
Crystal system = trigonal

Cell lengths 8.658, 8.658, 8.658 Å; angles 20.66, 20.66, 20.66 degrees
Fractional positions:
Ta: 0.000 0.000 0.000
Tc: 0.500 0.500 0.500
Se: 0.407 0.407 0.407
Se: 0.593 0.593 0.593

***

Record 9
Below is a geometry-optimized TaTcSe2 structure, with properties calculated at the GGA-PBEsol level.

Properties
Offset from the most stable computed form = 1.37 eV per formula unit
Crystal system = orthorhombic

Cell lengths 5.461, 5.461, 5.461 Å; angles 146.69, 133.31, 58.56 degrees
Fractional positions:
Ta: 0.000 0.000 0.000
Tc: 0.274 0.774 0.500
Se: 0.479 0.479 0.000
Se: 0.760 0.260 0.500

***

Record 10
Below is a geometry-optimized TaTcSe2 structure, with properties calculated at the GGA-PBEsol level.

Properties
Offset from the most stable computed form = 1.19 eV per formula unit
Crystal system = cubic

Cell lengths 4.432, 4.432, 4.432 Å; angles 60.00, 60.00, 60.00 degrees
Fractional positions:
Ta: 0.000 0.000 0.000
Tc: 0.500 0.500 0.500
Se: 0.250 0.250 0.250
Se: 0.750 0.750 0.750

***

Record 11
Below is a geometry-optimized TaTcSe2 structure, with properties calculated at the GGA-PBEsol level.

Properties
Offset from the most stable computed form = 2.66 eV per formula unit
Crystal system = monoclinic

Cell lengths 5.060, 5.060, 3.471 Å; angles 106.61, 106.61, 115.66 degrees
Fractional positions:
Ta: 0.000 0.000 0.000
Tc: 0.500 0.500 0.000
Se: 0.000 0.500 0.500
Se: 0.500 0.000 0.500

***

Record 12
Below is a geometry-optimized TaTcSe3 structure, with properties calculated at the GGA-PBEsol level.

Properties
Crystal system = cubic

Cell lengths 4.736, 4.736, 4.736 Å; angles 90.00, 90.00, 90.00 degrees
Fractional positions:
Ta: 0.000 0.000 0.000
Tc: 0.500 0.500 0.500
Se: 0.000 0.500 0.500
Se: 0.500 0.000 0.500
Se: 0.500 0.500 0.000

***

Record 13
Below is a geometry-optimized TaTcSe2 structure, with properties calculated at the GGA-PBEsol level.

Properties
Offset from the most stable computed form = 1.00 eV per formula unit
Crystal system = monoclinic

Cell lengths 4.725, 4.725, 5.793 Å; angles 98.70, 98.70, 40.41 degrees
Fractional positions:
Ta: 0.000 0.000 0.000
Tc: 0.279 0.279 0.881
Se: 0.516 0.516 0.656
Se: 0.746 0.746 0.198

***

Record 14
Below is a geometry-optimized TaTiSe4 structure, with properties calculated at the GGA-PBEsol level.

Properties
Crystal system = monoclinic

Cell lengths 5.980, 3.451, 6.123 Å; angles 90.00, 90.10, 90.00 degrees
Fractional positions:
Ta: 0.000 0.000 0.000
Ti: 0.500 0.500 0.000
Se: 0.171 0.500 0.265
Se: 0.336 0.000 0.740
Se: 0.664 0.000 0.260
Se: 0.829 0.500 0.735

***

Record 15
Below is a geometry-optimized TaTi3Se structure, with properties calculated at the GGA-PBEsol level.

Properties
Crystal system = cubic

Cell lengths 4.557, 4.557, 4.557 Å; angles 90.00, 90.00, 90.00 degrees
Fractional positions:
Ta: 0.000 0.000 0.000
Ti: 0.000 0.500 0.500
Ti: 0.500 0.000 0.500
Ti: 0.500 0.500 0.000
Se: 0.500 0.500 0.500

***

Record 16
Below is a geometry-optimized TaTiSe3 structure, with properties calculated at the GGA-PBEsol level.

Properties
Crystal system = cubic

Cell lengths 4.786, 4.786, 4.786 Å; angles 90.00, 90.00, 90.00 degrees
Fractional positions:
Ta: 0.000 0.000 0.000
Ti: 0.500 0.500 0.500
Se: 0.000 0.500 0.500
Se: 0.500 0.000 0.500
Se: 0.500 0.500 0.000

***

Record 17
Below is a geometry-optimized Ta2TlSe structure, with properties calculated at the GGA-PBEsol level.

Properties
Offset from the most stable computed form = 0.43 eV per formula unit
Crystal system = monoclinic

Cell lengths 5.118, 5.118, 5.070 Å; angles 102.26, 102.26, 35.61 degrees
Fractional positions:
Ta: 0.000 0.000 0.000
Ta: 0.241 0.241 0.688
Tl: 0.752 0.752 0.196
Se: 0.512 0.512 0.586

***

Record 18
Below is a geometry-optimized TaTlSe2 structure, with properties calculated at the GGA-PBEsol level.

Properties
Crystal system = tetragonal

Cell lengths 4.910, 4.910, 3.293 Å; angles 90.00, 90.00, 90.00 degrees
Fractional positions:
Ta: 0.000 0.000 0.000
Tl: 0.500 0.500 0.000
Se: 0.000 0.500 0.500
Se: 0.500 0.000 0.500

***

Record 19
Below is a geometry-optimized Ta2TlSe structure, with properties calculated at the GGA-PBEsol level.

Properties
Offset from the most stable computed form = 0.00 eV per formula unit
Crystal system = trigonal

Cell lengths 8.987, 8.987, 8.987 Å; angles 19.92, 19.92, 19.92 degrees
Fractional positions:
Ta: 0.241 0.241 0.241
Ta: 0.759 0.759 0.759
Tl: 0.000 0.000 0.000
Se: 0.500 0.500 0.500

***

Record 20
Below is a geometry-optimized Ta2TlSe structure, with properties calculated at the GGA-PBEsol level.

Properties
Offset from the most stable computed form = 2.09 eV per formula unit
Crystal system = cubic

Cell lengths 4.766, 4.766, 4.766 Å; angles 60.00, 60.00, 60.00 degrees
Fractional positions:
Ta: 0.000 0.000 0.000
Ta: 0.250 0.250 0.250
Tl: 0.500 0.500 0.500
Se: 0.750 0.750 0.750

***

Record 21
Below is a geometry-optimized TaTlSe2 structure, with properties calculated at the GGA-PBEsol level.

Properties
Crystal system = cubic

Cell lengths 4.862, 4.862, 4.862 Å; angles 60.00, 60.00, 60.00 degrees
Fractional positions:
Ta: 0.000 0.000 0.000
Tl: 0.750 0.750 0.750
Se: 0.250 0.250 0.250
Se: 0.500 0.500 0.500

***

Record 22
Below is a geometry-optimized Ta3VSe6 structure, with properties calculated at the GGA-PBEsol level.

Properties
Crystal system = hexagonal

Cell lengths 5.941, 5.941, 12.634 Å; angles 90.00, 90.00, 120.00 degrees
Fractional positions:
Ta: 0.000 0.000 0.000
Ta: 0.000 0.000 0.500
Ta: 0.333 0.667 0.000
Ta: 0.333 0.667 0.500
Ta: 0.667 0.333 0.000
Ta: 0.667 0.333 0.500
V: 0.333 0.667 0.250
V: 0.667 0.333 0.750
Se: 0.005 0.333 0.868
Se: 0.005 0.672 0.632
Se: 0.328 0.333 0.632
Se: 0.328 0.995 0.868
Se: 0.333 0.005 0.132
Se: 0.333 0.328 0.368
Se: 0.667 0.672 0.868
Se: 0.667 0.995 0.632
Se: 0.672 0.005 0.368
Se: 0.672 0.667 0.132
Se: 0.995 0.328 0.132
Se: 0.995 0.667 0.368

***

Record 23
Below is a geometry-optimized TaWSe structure, with properties calculated at the GGA-PBEsol level.

Properties
Crystal system = orthorhombic

Cell lengths 6.739, 6.498, 2.957 Å; angles 81.68, 72.59, 25.73 degrees
Fractional positions:
Ta: 0.000 0.000 0.000
W: 0.662 0.662 0.338
Se: 0.333 0.333 0.667

***

Record 24
Below is a geometry-optimized Ta2WSe structure, with properties calculated at the GGA-PBEsol level.

Properties
Crystal system = tetragonal

Cell lengths 2.916, 2.916, 7.859 Å; angles 90.00, 90.00, 90.00 degrees
Fractional positions:
Ta: 0.000 0.000 0.224
Ta: 0.000 0.000 0.776
W: 0.500 0.500 0.500
Se: 0.500 0.500 0.000

***

Record 25
Below is a geometry-optimized TaWSe4 structure, with properties calculated at the GGA-PBEsol level.

Properties
Crystal system = hexagonal

Cell lengths 3.350, 3.350, 12.899 Å; angles 90.00, 90.00, 120.00 degrees
Fractional positions:
Ta: 0.000 0.000 0.000
W: 0.000 0.000 0.500
Se: 0.333 0.667 0.131
Se: 0.333 0.667 0.869
Se: 0.667 0.333 0.372
Se: 0.667 0.333 0.628

***

Record 26
Below is a geometry-optimized TaW2Se structure, with properties calculated at the GGA-PBEsol level.

Properties
Crystal system = orthorhombic

Cell lengths 3.021, 4.210, 5.158 Å; angles 90.00, 90.00, 90.00 degrees
Fractional positions:
Ta: 0.000 0.000 0.000
W: 0.500 0.500 0.245
W: 0.500 0.500 0.755
Se: 0.000 0.000 0.500

***

Record 27
Below is a geometry-optimized TaW2Se structure, with properties calculated at the GGA-PBEsol level.

Properties
Crystal system = orthorhombic

Cell lengths 3.129, 4.318, 4.782 Å; angles 90.00, 90.00, 90.00 degrees
Fractional positions:
Ta: 0.000 0.000 0.000
W: 0.000 0.500 0.500
W: 0.500 0.000 0.500
Se: 0.500 0.500 0.000

***

Record 28
Below is a geometry-optimized TaW2Se structure, with properties calculated at the GGA-PBEsol level.

Properties
Crystal system = orthorhombic

Cell lengths 2.872, 2.872, 8.655 Å; angles 90.00, 90.00, 111.78 degrees
Fractional positions:
Ta: 0.000 0.000 0.000
W: 0.000 0.000 0.494
W: 0.500 0.500 0.255
Se: 0.500 0.500 0.756

***

Record 29
Below is a geometry-optimized TaW3Se structure, with properties calculated at the GGA-PBEsol level.

Properties
Crystal system = cubic

Cell lengths 4.517, 4.517, 4.517 Å; angles 90.00, 90.00, 90.00 degrees
Fractional positions:
Ta: 0.000 0.000 0.000
W: 0.000 0.500 0.500
W: 0.500 0.000 0.500
W: 0.500 0.500 0.000
Se: 0.500 0.500 0.500

***

Energy relative to the elements, uncorrected for the records above, in order: -789.5; -830.1; 700.0; -625.3; 199.4; 0.4; -387.5; 1.0; -45.4; -89.0; 278.4; 914.9; -137.7; -980.0; 207.7; 345.7; 248.5; 287.4; 141.2; 663.3; 644.8; -870.3; 333.6; 196.6; -692.7; 367.8; 329.7; 283.7; 1515.8 meV/atom